(1)
## Rb2Ti4H3F21 (GGA-PBE)

Data for a relaxed Rb2Ti4H3F21 crystal.

## Properties
Crystal system: triclinic
Electronic total energy, eV/cell: -346.42

Cell and atoms, written as POSCAR:
```
Rb2Ti4H3F21
1.0
10.476 0.000 0.000
4.541 9.630 0.000
0.036 4.989 9.604
Rb Ti H F
4 8 6 42
Cartesian
2.254 5.096 3.809 Rb
2.060 5.215 8.207 Rb
12.993 9.405 1.397 Rb
12.799 9.524 5.795 Rb
4.467 11.264 9.549 Ti
6.793 10.895 6.418 Ti
5.116 2.530 1.060 Ti
7.533 7.495 2.098 Ti
7.520 7.124 7.506 Ti
9.937 12.089 8.544 Ti
8.260 3.725 3.186 Ti
10.586 3.355 0.056 Ti
4.980 8.231 3.651 H
4.471 6.668 6.342 H
5.715 4.194 4.890 H
9.338 10.426 4.714 H
10.581 7.951 3.262 H
10.073 6.388 5.953 H
3.283 10.716 8.318 F
4.428 13.040 9.140 F
3.306 6.429 1.352 F
4.051 8.500 3.625 F
5.221 10.401 5.702 F
3.516 6.755 6.189 F
6.575 12.677 6.151 F
5.936 11.053 8.194 F
4.846 4.428 0.449 F
3.921 6.984 9.465 F
5.988 6.695 1.173 F
7.135 9.099 1.395 F
3.992 2.803 2.430 F
6.445 7.718 3.572 F
4.755 4.325 4.963 F
7.835 10.621 4.928 F
5.976 6.623 6.650 F
7.139 9.005 6.947 F
9.297 13.712 8.115 F
8.445 11.267 7.473 F
6.525 7.570 9.134 F
8.528 7.049 0.470 F
6.608 3.353 2.132 F
5.756 0.907 1.489 F
7.914 5.615 2.657 F
9.077 7.996 2.954 F
7.218 3.998 4.676 F
10.298 10.295 4.641 F
8.608 6.902 6.032 F
11.060 11.817 7.174 F
7.918 5.521 8.209 F
9.065 7.925 8.431 F
11.132 7.635 0.139 F
10.207 10.192 9.155 F
9.117 3.567 1.410 F
8.477 1.942 3.453 F
11.537 7.864 3.415 F
9.832 4.218 3.902 F
11.002 6.119 5.979 F
11.747 8.191 8.252 F
10.625 1.579 0.464 F
11.770 3.904 1.286 F
```


(2)
## Rb2TlHF6 (GGA-PBE)

Data for a relaxed Rb2TlHF6 crystal.

## Properties
E above lowest polymorph, eV/atom: 0.0000
Crystal system: monoclinic

Cell and atoms, written as POSCAR:
```
Rb2TlHF6
1.0
3.570 -5.021 0.000
3.570 5.021 0.000
-2.852 0.000 4.875
Rb Tl H F
2 1 1 6
Cartesian
3.570 2.905 0.000 Rb
3.570 -2.905 0.000 Rb
2.069 0.000 2.444 Tl
5.679 0.000 2.466 H
-0.223 0.000 2.098 F
2.195 2.140 2.465 F
2.119 0.000 0.312 F
2.282 0.000 4.563 F
2.195 -2.140 2.465 F
4.662 0.000 2.767 F
```


(3)
## Rb2TlHF6 (GGA-PBE)

Data for a relaxed Rb2TlHF6 crystal.

## Properties
E above lowest polymorph, eV/atom: 0.2725
Crystal system: tetragonal

Cell and atoms, written as POSCAR:
```
Rb2TlHF6
1.0
-2.793 2.793 5.122
2.793 -2.793 5.122
2.793 2.793 -5.122
Rb Tl H F
2 1 1 6
Cartesian
2.793 0.000 2.561 Rb
0.000 2.793 2.561 Rb
0.000 0.000 0.000 Tl
0.000 0.000 5.122 H
0.000 0.000 2.163 F
1.580 1.580 0.000 F
1.213 -1.213 5.122 F
-1.213 1.213 5.122 F
1.213 1.213 5.122 F
0.000 0.000 8.080 F
```


(4)
## Rb2TmHF6 (GGA-PBE)

Data for a relaxed Rb2TmHF6 crystal.

## Properties
Crystal system: monoclinic
Electronic total energy, eV/cell: -51.54

Cell and atoms, written as POSCAR:
```
Rb2TmHF6
1.0
4.955 -3.398 0.000
4.955 3.398 0.000
-4.948 0.000 4.964
Rb Tm H F
2 1 1 6
Cartesian
4.955 1.698 0.000 Rb
4.955 -1.698 0.000 Rb
-2.474 0.000 2.482 Tm
2.480 0.000 2.482 H
-0.366 0.000 2.478 F
-2.472 0.000 4.590 F
2.480 1.163 2.482 F
2.480 -1.163 2.482 F
7.433 0.000 0.374 F
5.327 0.000 2.486 F
```